Record 1
{"formula": "NdInHgGe", "functional": "PBE", "state": "relaxed", "cell": [[0.0000, 3.6781, 3.6781], [3.6781, 0.0000, 3.6781], [3.6781, 3.6781, 0.0000]], "species": ["Nd", "In", "Hg", "Ge"], "fractional_positions": [[0.0000, 0.0000, 0.0000], [0.5000, 0.5000, 0.5000], [0.2500, 0.2500, 0.2500], [0.7500, 0.7500, 0.7500]], "m_tot_mub_per_fu": 0.000, "e_form_mev_per_atom": -283.4}

Record 2
{"formula": "HoCuPd6", "functional": "PBE", "state": "relaxed", "cell": [[4.0244, 0.0000, 0.0000], [0.0000, 4.0244, 0.0000], [0.0000, 0.0000, 7.9743]], "species": ["Ho", "Cu", "Pd", "Pd", "Pd", "Pd", "Pd", "Pd"], "fractional_positions": [[0.0000, 0.0000, 0.0000], [0.0000, 0.0000, 0.5000], [0.0000, 0.5000, 0.2645], [0.0000, 0.5000, 0.7355], [0.5000, 0.0000, 0.2645], [0.5000, 0.0000, 0.7355], [0.5000, 0.5000, 0.0000], [0.5000, 0.5000, 0.5000]], "m_tot_mub_per_fu": 0.000, "e_above_lowest_polymorph_ev_per_fu": 0.00, "e_form_mev_per_atom": -441.0}

Record 3
{"formula": "La8Nd2Y", "functional": "PBE", "state": "relaxed", "cell": [[4.6702, -8.4968, 0.0000], [4.6702, 8.4968, 0.0000], [-3.4686, 0.0000, 5.0530]], "species": ["La", "La", "La", "La", "La", "La", "La", "La", "Nd", "Nd", "Y"], "fractional_positions": [[0.0961, 0.3320, 0.6847], [0.2055, 0.7945, 0.0000], [0.3320, 0.0961, 0.6847], [0.4217, 0.4217, 0.2006], [0.5783, 0.5783, 0.7994], [0.6680, 0.9039, 0.3153], [0.7945, 0.2055, 0.0000], [0.9039, 0.6680, 0.3153], [0.3102, 0.6898, 0.5000], [0.6898, 0.3102, 0.5000], [0.0000, 0.0000, 0.0000]], "m_tot_mub_per_fu": 0.000, "e_above_lowest_polymorph_ev_per_fu": 1.14, "e_form_mev_per_atom": 116.9}

Record 4
{"formula": "NiIr2Rh", "functional": "PBE", "state": "relaxed", "cell": [[2.6880, 0.0000, 0.0000], [0.0000, 4.5730, 0.0000], [0.0000, 0.0000, 4.5747]], "species": ["Ni", "Ir", "Ir", "Rh"], "fractional_positions": [[0.0000, 0.0000, 0.0000], [0.0000, 0.5000, 0.5000], [0.5000, 0.5000, 0.0000], [0.5000, 0.0000, 0.5000]], "m_tot_mub_per_fu": 0.500, "e_form_mev_per_atom": 244.0}

Record 5
{"formula": "Er6TeAs3P2", "functional": "PBE", "state": "relaxed", "cell": [[8.8805, -2.0391, 0.0000], [8.8805, 2.0391, 0.0000], [-1.8463, 0.0000, 7.9906]], "species": ["Er", "Er", "Er", "Er", "Er", "Er", "Te", "As", "As", "As", "P", "P"], "fractional_positions": [[0.0041, 0.0041, 0.2709], [0.3248, 0.3248, 0.9047], [0.3303, 0.3303, 0.4203], [0.6697, 0.6697, 0.5797], [0.6752, 0.6752, 0.0953], [0.9959, 0.9959, 0.7291], [0.5000, 0.5000, 0.0000], [0.1629, 0.1629, 0.8329], [0.5000, 0.5000, 0.5000], [0.8371, 0.8371, 0.1671], [0.1676, 0.1676, 0.3346], [0.8324, 0.8324, 0.6654]], "m_tot_mub_per_fu": 0.000, "total_energy_ev_per_cell": -73.61}

Record 6
{"formula": "GaBiO3", "functional": "PBE", "state": "relaxed", "cell": [[2.7954, 1.6139, 4.6452], [-2.7954, 1.6139, 4.6452], [0.0000, -3.2278, 4.6452]], "species": ["Ga", "Ga", "Bi", "Bi", "O", "O", "O", "O", "O", "O"], "fractional_positions": [[0.0000, 0.0000, 0.0000], [0.5000, 0.5000, 0.5000], [0.2761, 0.2761, 0.2761], [0.7761, 0.7761, 0.7761], [0.1723, 0.3081, 0.7142], [0.2142, 0.8081, 0.6723], [0.3081, 0.7142, 0.1723], [0.6723, 0.2142, 0.8081], [0.7142, 0.1723, 0.3081], [0.8081, 0.6723, 0.2142]], "m_tot_mub_per_fu": 0.000, "total_energy_ev_per_cell": -58.54}

Record 7
{"formula": "AlSnH2", "functional": "PBE", "state": "relaxed", "cell": [[-2.6925, 2.6925, 3.7886], [2.6925, -2.6925, 3.7886], [2.6925, 2.6925, -3.7886]], "species": ["Al", "Al", "Sn", "Sn", "H", "H", "H", "H"], "fractional_positions": [[0.0000, 0.0000, 0.0000], [0.7500, 0.2500, 0.5000], [0.2500, 0.7500, 0.5000], [0.5000, 0.5000, 0.0000], [0.3750, 0.2109, 0.3359], [0.7891, 0.1250, 0.1641], [0.8750, 0.0391, 0.6641], [0.9609, 0.6250, 0.8359]], "m_tot_mub_per_fu": 0.000, "e_above_lowest_polymorph_ev_per_fu": 0.00}

Record 8
{"formula": "Rb3SnH", "functional": "PBE", "state": "relaxed", "cell": [[5.8283, 0.0000, 0.0000], [0.0000, 5.8283, 0.0000], [0.0000, 0.0000, 5.8283]], "species": ["Rb", "Rb", "Rb", "Sn", "H"], "fractional_positions": [[0.0000, 0.0000, 0.5000], [0.0000, 0.5000, 0.0000], [0.5000, 0.0000, 0.0000], [0.5000, 0.5000, 0.5000], [0.0000, 0.0000, 0.0000]], "m_tot_mub_per_fu": 1.999, "e_above_lowest_polymorph_ev_per_fu": 0.19}

Record 9
{"formula": "YPbI2N", "functional": "PBE", "state": "relaxed", "cell": [[6.2714, 0.0000, 0.0000], [0.0000, 6.2714, 0.0000], [0.0000, 0.0000, 4.1169]], "species": ["Y", "Pb", "I", "I", "N"], "fractional_positions": [[0.0000, 0.0000, 0.0000], [0.5000, 0.5000, 0.5000], [0.0000, 0.5000, 0.0000], [0.5000, 0.0000, 0.0000], [0.0000, 0.0000, 0.5000]], "m_tot_mub_per_fu": 0.001, "e_above_lowest_polymorph_ev_per_fu": 0.00}

Record 10
{"formula": "Sr3Hg2Ge2Au4", "functional": "PBE", "state": "relaxed", "cell": [[-2.3410, 2.3410, 12.8337], [2.3410, -2.3410, 12.8337], [2.3410, 2.3410, -12.8337]], "species": ["Sr", "Sr", "Sr", "Hg", "Hg", "Ge", "Ge", "Au", "Au", "Au", "Au"], "fractional_positions": [[0.0000, 0.0000, 0.0000], [0.1918, 0.1918, 0.0000], [0.8082, 0.8082, 0.0000], [0.3237, 0.3237, 0.0000], [0.6763, 0.6763, 0.0000], [0.4494, 0.4494, 0.0000], [0.5506, 0.5506, 0.0000], [0.0982, 0.5982, 0.5000], [0.4018, 0.9018, 0.5000], [0.5982, 0.0982, 0.5000], [0.9018, 0.4018, 0.5000]], "m_tot_mub_per_fu": 0.000, "e_form_mev_per_atom": -508.8}

Record 11
{"formula": "PmDyCuPt", "functional": "PBE", "state": "relaxed", "cell": [[4.4537, 0.0000, 0.0000], [0.0000, 1.9177, 5.3571], [0.0000, -1.9177, 5.3571]], "species": ["Pm", "Dy", "Cu", "Pt"], "fractional_positions": [[0.0000, 0.0000, 0.0000], [0.5000, 0.7230, 0.7230], [0.5000, 0.4360, 0.4360], [0.0000, 0.2807, 0.2807]], "m_tot_mub_per_fu": 0.000, "e_above_lowest_polymorph_ev_per_fu": 0.00, "e_form_mev_per_atom": -754.4}

Record 12
{"formula": "BaCrCd2", "functional": "PBE", "state": "relaxed", "cell": [[3.5782, 0.0000, 0.0000], [0.0000, 4.5862, 0.0000], [-0.0252, 0.0000, 7.1386]], "species": ["Ba", "Cr", "Cd", "Cd"], "fractional_positions": [[0.0000, 0.0000, 0.0000], [0.0025, 0.5000, 0.6084], [0.5011, 0.0000, 0.5573], [0.5010, 0.5000, 0.2867]], "m_tot_mub_per_fu": 3.956, "e_form_mev_per_atom": 264.9}

Number 1: volume 100 Å³ per cell. Number 2: volume 129 Å³ per cell. Number 3: volume 401 Å³ per cell. Number 4: volume 56 Å³ per cell. Number 5: volume 289 Å³ per cell. Number 6: volume 126 Å³ per cell. Number 7: volume 110 Å³ per cell. Number 8: volume 198 Å³ per cell. Number 9: volume 162 Å³ per cell. Number 10: volume 281 Å³ per cell. Number 11: volume 92 Å³ per cell. Number 12: volume 117 Å³ per cell.